(1)
Compound: RbYBr4
Source: Alexandria via LeMat-Bulk
Functional: GGA-PBE
Structure: relaxed

abc: 4.3725 7.6397 7.6396
angles: 87.94 90.00 90.00
Closest atoms and distances in Å follow each position.
Positions (direct):
Br: 0.0000 0.1714 0.1715  2 Y 2.89
Y: 0.5000 0.0000 0.0000  6 Br 2.74-2.89
Br: 0.5000 0.2586 0.7414  1 Y 2.74
Rb: 0.0000 0.5000 0.5000  6 Br 3.37-3.61
Br: 0.0000 0.8286 0.8285  2 Y 2.89
Br: 0.5000 0.7414 0.2586  1 Y 2.74

Properties
E above lowest polymorph in meV per atom: 46
SG: Cmmm, No. 65
M_tot in μB/cell: 0.00
ΔE_f (raw) in eV/atom: -1.816

---

(2)
Compound: Hg2BiI
Source: Alexandria via LeMat-Bulk
Functional: GGA-PBE
Structure: relaxed

abc: 5.5867 7.6514 14.1265
angles: 64.23 90.00 90.00
Closest atoms and distances in Å follow each position.
Positions (direct):
Hg: 0.7498 0.4963 0.6470  2 Bi 3.01
Hg: 0.2499 0.7428 0.6523  1 Hg 2.81, 1 Bi 3.03
Hg: 0.2499 0.7572 0.8477  1 Hg 2.81, 1 Bi 3.03
Bi: 0.2498 0.1346 0.8688  3 Hg 3.01-3.03, 1 Bi 3.04
Bi: 0.2498 0.3654 0.6312  3 Hg 3.01-3.03, 1 Bi 3.04
Hg: 0.2502 0.9963 0.1470  2 Bi 3.01
I: 0.7500 0.0256 0.6057  4 Hg 3.29-3.42
I: 0.2500 0.9744 0.3943  4 Hg 3.29-3.42
I: 0.7500 0.4744 0.8943  4 Hg 3.29-3.42
Hg: 0.7498 0.0037 0.8530  2 Bi 3.01
I: 0.2500 0.5256 0.1057  4 Hg 3.29-3.42
Bi: 0.7502 0.8654 0.1312  3 Hg 3.01-3.03, 1 Bi 3.04
Hg: 0.7501 0.2572 0.3477  1 Hg 2.81, 1 Bi 3.03
Hg: 0.2502 0.5037 0.3530  2 Bi 3.01
Bi: 0.7502 0.6346 0.3688  3 Hg 3.01-3.03, 1 Bi 3.04
Hg: 0.7501 0.2428 0.1523  1 Hg 2.81, 1 Bi 3.03

Properties
E above lowest polymorph in meV per atom: 37
SG: C2/m, No. 12
M_tot in μB/cell: 0.00
ΔE_f (raw) in eV/atom: -0.051